A plane-wave DFT calculation with GGA-PBE was carried out for a relaxed structure of Pm12CdIn3.

Cell: 4.9549 4.9549 19.7878 Å, 90.00 90.00 90.00°
Last column: nearest neighbours and their distance in Å.
Space group P4/mmm (No. 123)
Asymmetric unit:
1 Pm 0.0000 0.0000 0.0000  8 Pm 3.50, 4 Cd 3.50
2 Pm 0.0000 0.0000 0.2482  8 Pm 3.48-3.52, 4 In 3.50
3 Pm 0.0000 0.0000 0.5000  4 In 3.50, 8 Pm 3.51
4 Pm 0.0000 0.5000 0.1248  8 Pm 3.48-3.50, 2 Cd 3.50, 2 In 3.50
5 Pm 0.0000 0.5000 0.3745  4 In 3.50-3.51, 8 Pm 3.50-3.52
6 Cd 0.5000 0.5000 0.0000  12 Pm 3.50
7 In 0.5000 0.5000 0.2498  12 Pm 3.50
8 In 0.5000 0.5000 0.5000  12 Pm 3.50-3.51

Calculated values
* E_tot: -4.37 eV/atom
* spin magnetization: 0.000 μB/atom
* crystal system: tetragonal
* density: 7.509 g cm⁻³

A plane-wave DFT calculation with GGA-PBE was carried out for a relaxed structure of Dy3ZnFe8.

Cell: 5.0495 5.0495 24.7547 Å, 90.00 90.00 120.00°
Last column: nearest neighbours and their distance in Å.
Space group R3m (No. 160, hexagonal axes)
Asymmetric unit:
1 Dy 0.0000 0.0000 0.0000  12 Fe 2.96-3.01, 4 Dy 3.14-3.16
2 Dy 0.0000 0.0000 0.1278  12 Fe 2.85-2.99, 3 Zn 3.05, 1 Dy 3.16
3 Dy 0.0000 0.0000 0.6192  12 Fe 2.92-3.11, 1 Zn 3.03, 3 Dy 3.14
4 Zn 0.0000 0.0000 0.4969  12 Fe 2.87-2.97, 4 Dy 3.03-3.05
5 Fe 0.0000 0.0000 0.3121  6 Fe 2.55-2.57
6 Fe 0.0000 0.0000 0.8112  6 Fe 2.48-2.50
7 Fe 0.0012 0.5006 0.5600  6 Fe 2.50-2.57
8 Fe 0.0017 0.5008 0.0635  6 Fe 2.48-2.55

Calculated values
* E_tot: -6.95 eV/atom
* spin magnetization: 1.240 μB/atom
* crystal system: trigonal
* density: 9.111 g cm⁻³

A plane-wave DFT calculation with GGA-PBE was carried out for a relaxed structure of GdDy3Co.

Cell: 5.2715 5.2715 5.2715 Å, 90.00 90.00 90.00°
Last column: nearest neighbours and their distance in Å.
Space group Pm-3m (No. 221)
Asymmetric unit:
1 Gd 0.0000 0.0000 0.0000  12 Dy 3.73
2 Dy 0.0000 0.5000 0.5000  2 Co 2.64
3 Co 0.5000 0.5000 0.5000  6 Dy 2.64

Calculated values
* E_tot: -7.02 eV/atom
* spin magnetization: 1.627 μB/atom
* crystal system: cubic
* density: 7.977 g cm⁻³

A plane-wave DFT calculation with GGA-PBE was carried out for a relaxed structure of Nd8POs3Br4.

Cell: 8.3581 8.3581 23.1288 Å, 90.00 90.00 120.00°
Last column: nearest neighbours and their distance in Å.
Space group R-3m (No. 166, hexagonal axes)
Asymmetric unit:
1 Nd 0.0000 0.0000 0.2345  3 Os 2.88
2 Nd 0.0097 0.5048 0.7688  2 Os 2.81, 1 P 2.90
3 P 0.0000 0.0000 0.5000  6 Nd 2.90
4 Os 0.0000 0.5000 0.5000  6 Nd 2.81-2.88
5 Br 0.0000 0.0000 0.0000  6 Nd 3.33
6 Br 0.0000 0.5000 0.0000  6 Nd 3.32-3.40

Calculated values
* uncorrected formation energy: -0.86 eV/atom
* spin magnetization: 0.000 μB/atom
* crystal system: trigonal
* density: 7.388 g cm⁻³

A plane-wave DFT calculation with GGA-PBE was carried out for a relaxed structure of LaRu2Pt.

Cell: 2.8894 2.8894 29.2418 Å, 90.00 90.00 120.00°
Last column: nearest neighbours and their distance in Å.
Space group R3m (No. 160, hexagonal axes)
Asymmetric unit:
1 La 0.0000 0.0000 0.0000  6 La 2.89, 3 Pt 3.19, 3 Ru 3.23
2 Ru 0.0000 0.0000 0.4950  3 Ru 2.57, 3 Pt 2.84
3 Ru 0.0000 0.0000 0.7613  3 Ru 2.57
4 Pt 0.0000 0.0000 0.2404  3 Ru 2.84, 6 Pt 2.89

Calculated values
* E above lowest polymorph: 1.98 eV per formula unit
* spin magnetization: 0.084 μB/atom
* crystal system: trigonal
* density: 12.632 g cm⁻³

A plane-wave DFT calculation with GGA-PBE was carried out for a relaxed structure of Ac4YAu5.

Cell: 3.8313 3.8313 19.4403 Å, 90.00 90.00 90.00°
Last column: nearest neighbours and their distance in Å.
Space group P4/mmm (No. 123)
Asymmetric unit:
1 Ac 0.0000 0.0000 0.1028  8 Au 3.37
2 Ac 0.0000 0.0000 0.3083  8 Au 3.36-3.44, 1 Y 3.73
3 Y 0.0000 0.0000 0.5000  8 Au 3.15
4 Au 0.5000 0.5000 0.0000  8 Ac 3.37
5 Au 0.5000 0.5000 0.2058  8 Ac 3.36-3.37
6 Au 0.5000 0.5000 0.4175  4 Y 3.15, 1 Au 3.21, 4 Ac 3.44

Calculated values
* E_tot: -4.70 eV/atom
* spin magnetization: 0.000 μB/atom
* crystal system: tetragonal
* density: 11.532 g cm⁻³

A plane-wave DFT calculation with GGA-PBE was carried out for a relaxed structure of Nb2ZnInBi.

Cell: 5.2835 5.2835 4.9764 Å, 90.00 90.00 90.00°
Last column: nearest neighbours and their distance in Å.
Space group P4/mmm (No. 123)
Asymmetric unit:
1 Nb 0.0000 0.5000 0.0000  2 Bi 2.64
2 Zn 0.0000 0.0000 0.5000  2 Bi 2.49
3 In 0.5000 0.5000 0.5000  8 Nb 3.63, 4 Zn 3.74
4 Bi 0.0000 0.0000 0.0000  2 Zn 2.49, 4 Nb 2.64

Calculated values
* E_tot: -4.14 eV/atom
* spin magnetization: 0.000 μB/atom
* crystal system: tetragonal
* density: 6.873 g cm⁻³

A plane-wave DFT calculation with GGA-PBE was carried out for a relaxed structure of Ta2AsOs.

Cell: 5.7418 7.3029 3.1511 Å, 90.00 90.00 90.00°
Last column: nearest neighbours and their distance in Å.
Space group Cmmm (No. 65)
Asymmetric unit:
1 Ta 0.2500 0.2500 0.0000  4 Os 2.81, 4 As 2.81, 2 Ta 2.87
2 As 0.0000 0.0000 0.5000  8 Ta 2.81, 2 Os 2.87
3 Os 0.0000 0.5000 0.5000  8 Ta 2.81, 2 As 2.87

Calculated values
* E_tot: -9.99 eV/atom
* spin magnetization: 0.000 μB/atom
* crystal system: orthorhombic
* density: 15.761 g cm⁻³

A plane-wave DFT calculation with GGA-PBE was carried out for a relaxed structure of IrRh2PbSe.

Cell: 4.9548 4.9548 5.2043 Å, 90.00 90.00 90.00°
Last column: nearest neighbours and their distance in Å.
Space group P4/mmm (No. 123)
Asymmetric unit:
1 Ir 0.0000 0.0000 0.0000  4 Se 3.50, 8 Rh 3.59
2 Rh 0.0000 0.5000 0.5000  2 Pb 2.48
3 Pb 0.5000 0.5000 0.5000  4 Rh 2.48, 2 Se 2.60
4 Se 0.5000 0.5000 0.0000  2 Pb 2.60

Calculated values
* uncorrected formation energy: 2.01 eV/atom
* spin magnetization: 0.619 μB/atom
* crystal system: tetragonal
* density: 8.892 g cm⁻³

A plane-wave DFT calculation with GGA-PBE was carried out for a relaxed structure of LiAcMgCd6.

Cell: 7.7028 9.9493 12.1486 Å, 90.00 90.00 90.00°
Last column: nearest neighbours and their distance in Å.
Space group Imma (No. 74)
Asymmetric unit:
1 Li 0.0000 0.0000 0.0000  6 Cd 2.63-2.79
2 Ac 0.0000 0.2500 0.2096  10 Cd 3.41-3.72, 2 Li 3.56
3 Mg 0.2500 0.2500 0.7500  6 Cd 2.90-2.99
4 Cd 0.0000 0.2500 0.5156  8 Cd 3.23-3.33, 2 Mg 3.44
5 Cd 0.0000 0.2500 0.9286  2 Li 2.63, 2 Mg 2.90
6 Cd 0.1953 0.0048 0.3758  1 Li 2.79, 1 Mg 2.99, 2 Cd 3.01-3.02

Calculated values
* E_tot: -1.49 eV/atom
* spin magnetization: 0.000 μB/atom
* crystal system: orthorhombic
* density: 6.654 g cm⁻³

A plane-wave DFT calculation with GGA-PBE was carried out for a relaxed structure of Ce5Pm3Se12.

Cell: 17.2667 17.2667 17.2667 Å, 90.00 90.00 90.00°
Last column: nearest neighbours and their distance in Å.
Space group Ia-3d (No. 230)
Asymmetric unit:
1 Ce 0.0000 0.0000 0.0000  6 Se 2.95
2 Ce 0.0000 0.2500 0.3750  4 Se 2.77
3 Pm 0.0000 0.2500 0.1250  8 Se 3.10-3.28
4 Se 0.0206 0.0738 0.6528  2 Ce 2.77-2.95, 1 Pm 3.10

Calculated values
* uncorrected formation energy: -1.58 eV/atom
* spin magnetization: 0.252 μB/atom
* crystal system: cubic
* density: 5.376 g cm⁻³

A plane-wave DFT calculation with GGA-PBE was carried out for a relaxed structure of Rb3CoNi.

Cell: 6.2700 6.2700 6.2700 Å, 90.00 90.00 90.00°
Last column: nearest neighbours and their distance in Å.
Space group Pm-3m (No. 221)
Asymmetric unit:
1 Rb 0.0000 0.0000 0.5000  2 Ni 3.14
2 Co 0.5000 0.5000 0.5000  12 Rb 4.43
3 Ni 0.0000 0.0000 0.0000  6 Rb 3.14

Calculated values
* E_tot: -2.08 eV/atom
* spin magnetization: 0.401 μB/atom
* crystal system: cubic
* density: 2.520 g cm⁻³